Record 1
! LiIn2Sn2 (PBE, relaxed); values from VASP
! ΔE to the lowest computed polymorph, meV per atom: 78
! Crystal system: tetragonal
! E_form, eV per atom: 0.05
! Symmetry: No. 139
! Total magnetization, μB/atom: 0.0000
&SYSTEM
  ibrav = 0, nat = 5, ntyp = 3
/
ATOMIC_SPECIES
Li 6.94 Li.upf
In 114.82 In.upf
Sn 118.71 Sn.upf
CELL_PARAMETERS angstrom
-2.193 2.193 7.469
2.193 -2.193 7.469
2.193 2.193 -7.469
ATOMIC_POSITIONS angstrom
Li 0.000 0.000 0.000
In 2.193 0.000 3.734
In 0.000 2.193 3.734
Sn 0.000 0.000 5.977
Sn 0.000 0.000 8.960

***

Record 2
! Li4In4Sn5 (PBE, relaxed); values from VASP
! Crystal system: tetragonal
! E_form, eV per atom: -0.10
! Symmetry: No. 87
! Total magnetization, μB/atom: 0.0000
&SYSTEM
  ibrav = 0, nat = 13, ntyp = 3
/
ATOMIC_SPECIES
Li 6.94 Li.upf
In 114.82 In.upf
Sn 118.71 Sn.upf
CELL_PARAMETERS angstrom
-5.910 5.910 2.262
5.910 -5.910 2.262
5.910 5.910 -2.262
ATOMIC_POSITIONS angstrom
Li 4.378 0.933 0.000
Li 4.977 -1.532 2.262
Li 0.933 7.442 0.000
Li 1.532 4.977 2.262
In 8.953 1.813 0.000
In 1.813 2.867 0.000
In 4.097 3.043 2.262
In -3.043 4.097 2.262
Sn 0.000 0.000 0.000
Sn 6.281 3.486 0.000
Sn 3.486 5.540 0.000
Sn 2.424 0.371 2.262
Sn -0.371 2.424 2.262

***

Record 3
! LiIn6Sn (PBE, relaxed); values from VASP
! ΔE to the lowest computed polymorph, meV per atom: 0
! Crystal system: triclinic
! E_form, eV per atom: -0.05
! Symmetry: No. 2
! Total magnetization, μB/atom: 0.0000
&SYSTEM
  ibrav = 0, nat = 8, ntyp = 3
/
ATOMIC_SPECIES
Li 6.94 Li.upf
In 114.82 In.upf
Sn 118.71 Sn.upf
CELL_PARAMETERS angstrom
5.702 0.000 0.000
1.030 5.653 0.000
1.886 -0.317 6.387
ATOMIC_POSITIONS angstrom
Li 0.000 0.000 0.000
In 1.007 2.775 1.549
In 4.733 4.015 4.045
In 3.857 4.258 0.792
In 4.760 1.078 5.595
In 3.884 1.321 2.342
In 7.611 2.561 4.838
Sn 0.943 -0.159 3.193